(1)
# NaErIn2, relaxed, DFT PBE-GGA
data_NaErIn2
_symmetry_space_group_name_H-M 'R -3 m'
_symmetry_Int_Tables_number 166
_symmetry_space_group_name_Hall '-R 3 2"'
_cell_length_a 3.4748
_cell_length_b 3.4748
_cell_length_c 31.9140
_cell_angle_alpha 90.00
_cell_angle_beta 90.00
_cell_angle_gamma 120.00
loop_
_atom_site_label
_atom_site_fract_x
_atom_site_fract_y
_atom_site_fract_z
Na1 0.0000 0.0000 0.0000
Er1 0.0000 0.0000 0.5000
In1 0.0000 0.0000 0.2482
# total moment	0.00	μB per formula unit
# E	-11.9	eV/f.u.

***

(2)
# NaErIn, relaxed, DFT PBE-GGA
data_NaErIn
_symmetry_space_group_name_H-M 'P 4/n m m'
_symmetry_Int_Tables_number 129
_cell_length_a 4.9952
_cell_length_b 4.9952
_cell_length_c 7.5395
_cell_angle_alpha 90.00
_cell_angle_beta 90.00
_cell_angle_gamma 90.00
loop_
_symmetry_equiv_pos_as_xyz
'x,y,z'
'-x,-y,-z'
'-y+1/2,x,z'
'y+1/2,-x,-z'
'-x+1/2,-y+1/2,z'
'x+1/2,y+1/2,-z'
'y,-x+1/2,z'
'-y,x+1/2,-z'
'x+1/2,-y,-z'
'-x+1/2,y,z'
'-y,-x,-z'
'y,x,z'
'-x,y+1/2,-z'
'x,-y+1/2,z'
'y+1/2,x+1/2,-z'
'-y+1/2,-x+1/2,z'
loop_
_atom_site_label
_atom_site_fract_x
_atom_site_fract_y
_atom_site_fract_z
Na1 0.2500 0.2500 0.2180
Er1 0.2500 0.2500 0.7492
In1 0.2500 0.7500 0.5000
# total moment	0.00	μB per formula unit
# E	-8.2	eV/f.u.

***

(3)
# NaErIn, relaxed, DFT PBE-GGA
data_NaErIn
_symmetry_space_group_name_H-M 'I 4 m m'
_symmetry_Int_Tables_number 107
_symmetry_space_group_name_Hall 'I 4 -2'
_cell_length_a 3.3912
_cell_length_b 3.3912
_cell_length_c 15.0318
_cell_angle_alpha 90.00
_cell_angle_beta 90.00
_cell_angle_gamma 90.00
loop_
_atom_site_label
_atom_site_fract_x
_atom_site_fract_y
_atom_site_fract_z
Na1 0.0000 0.0000 0.0000
Er1 0.0000 0.0000 0.3020
In1 0.0000 0.0000 0.6603
# total moment	0.30	μB per formula unit
# E	-8.7	eV/f.u.

***

(4)
# NaErIn2, relaxed, DFT PBE-GGA
data_NaErIn2
_symmetry_space_group_name_H-M 'F m -3 m'
_symmetry_Int_Tables_number 225
_symmetry_space_group_name_Hall '-F 4 2 3'
_cell_length_a 7.4460
_cell_length_b 7.4460
_cell_length_c 7.4460
_cell_angle_alpha 90.00
_cell_angle_beta 90.00
_cell_angle_gamma 90.00
loop_
_atom_site_label
_atom_site_fract_x
_atom_site_fract_y
_atom_site_fract_z
Na1 0.0000 0.0000 0.0000
Er1 0.0000 0.0000 0.5000
In1 0.2500 0.2500 0.2500
# total moment	0.00	μB per formula unit
# E	-12.4	eV/f.u.

***

(5)
# Na2ErInO4, relaxed, DFT PBE-GGA
data_Na2ErInO4
_symmetry_space_group_name_H-M 'P 1 2/m 1'
_symmetry_Int_Tables_number 10
_symmetry_space_group_name_Hall '-P 2y'
_cell_length_a 5.7414
_cell_length_b 3.3409
_cell_length_c 5.9167
_cell_angle_alpha 90.00
_cell_angle_beta 109.18
_cell_angle_gamma 90.00
loop_
_atom_site_label
_atom_site_fract_x
_atom_site_fract_y
_atom_site_fract_z
Na1 0.0000 0.0000 0.0000
Na2 0.5000 0.5000 0.0000
Er1 0.0000 0.5000 0.5000
In1 0.5000 0.0000 0.5000
O1 0.2366 0.0000 0.7141
O2 0.2666 0.5000 0.2862
# total moment	0.00	μB per formula unit
# E_form (uncorrected)	-51.166	kcal/mol of atoms

***

(6)
# Na3ErIn2O6, relaxed, DFT PBE-GGA
data_Na3ErIn2O6
_symmetry_space_group_name_H-M 'C 1 2/m 1'
_symmetry_Int_Tables_number 12
_symmetry_space_group_name_Hall '-C 2y'
_cell_length_a 5.7299
_cell_length_b 9.9306
_cell_length_c 5.8999
_cell_angle_alpha 90.00
_cell_angle_beta 108.80
_cell_angle_gamma 90.00
loop_
_atom_site_label
_atom_site_fract_x
_atom_site_fract_y
_atom_site_fract_z
Na1 0.0000 0.0000 0.0000
Na2 0.0000 0.3286 0.0000
Er1 0.0000 0.5000 0.5000
In1 0.0000 0.1665 0.5000
O1 0.2338 0.0000 0.7153
O2 0.2401 0.3312 0.7141
# total moment	0.00	μB per formula unit
# E_form (uncorrected)	-46.620	kcal/mol of atoms

***

(7)
# NaErInPb, relaxed, DFT PBE-GGA
data_NaErInPb
_symmetry_space_group_name_H-M 'P m m m'
_symmetry_Int_Tables_number 47
_symmetry_space_group_name_Hall '-P 2 2'
_cell_length_a 4.2864
_cell_length_b 4.9011
_cell_length_c 5.0530
_cell_angle_alpha 90.00
_cell_angle_beta 90.00
_cell_angle_gamma 90.00
loop_
_atom_site_label
_atom_site_fract_x
_atom_site_fract_y
_atom_site_fract_z
Na1 0.0000 0.0000 0.0000
Er1 0.0000 0.5000 0.5000
In1 0.5000 0.5000 0.0000
Pb1 0.5000 0.0000 0.5000
# total moment	0.00	μB per formula unit
# E	-13.4	eV/f.u.

***

(8)
# NaErInPb, relaxed, DFT PBE-GGA
data_NaErInPb
_symmetry_space_group_name_H-M 'F -4 3 m'
_symmetry_Int_Tables_number 216
_symmetry_space_group_name_Hall 'F -4 2 3'
_cell_length_a 7.5708
_cell_length_b 7.5708
_cell_length_c 7.5708
_cell_angle_alpha 90.00
_cell_angle_beta 90.00
_cell_angle_gamma 90.00
loop_
_atom_site_label
_atom_site_fract_x
_atom_site_fract_y
_atom_site_fract_z
Na1 0.0000 0.0000 0.0000
Er1 0.0000 0.0000 0.5000
In1 0.2500 0.2500 0.2500
Pb1 0.2500 0.2500 0.7500
# total moment	0.00	μB per formula unit
# E	-13.3	eV/f.u.